# 1
# AuBr (GGA-PBE, optimized geometry)
# formation energy (no corrections): 0.444 eV/atom
# Fermi-level density of states: 0.552 states/eV per atom
data_AuBr
_chemical_formula_sum 'Au1 Br1'
_symmetry_space_group_name_H-M 'P m -3 m'
_symmetry_Int_Tables_number 221
_symmetry_space_group_name_Hall '-P 4 2 3'
_cell_length_a 3.572
_cell_length_b 3.572
_cell_length_c 3.572
_cell_angle_alpha 90.00
_cell_angle_beta 90.00
_cell_angle_gamma 90.00
loop_
_atom_site_label
_atom_site_fract_x
_atom_site_fract_y
_atom_site_fract_z
Au1 0.000 0.000 0.000
Br1 0.500 0.500 0.500

# 2
# AuBr (GGA-PBE, optimized geometry)
# formation energy (no corrections): 0.120 eV/atom
data_AuBr
_chemical_formula_sum 'Au4 Br4'
_symmetry_space_group_name_H-M 'P 42/m n m'
_symmetry_Int_Tables_number 136
_symmetry_space_group_name_Hall '-P 4n 2n'
_cell_length_a 7.497
_cell_length_b 7.497
_cell_length_c 4.636
_cell_angle_alpha 90.00
_cell_angle_beta 90.00
_cell_angle_gamma 90.00
loop_
_atom_site_label
_atom_site_fract_x
_atom_site_fract_y
_atom_site_fract_z
Au1 0.219 0.219 0.000
Br1 0.187 0.813 0.000